Density functional theory data (PBE with a Hubbard U) for VGa2O5 after structural relaxation.

Unit cell a=3.5515 b=5.3572 c=10.3615 alpha=90.00 beta=90.00 gamma=109.36
With the nearest neighbours (Å) after each atom.
Positions (direct):
O  0.3019  0.6039  0.4179  2 Ga 1.91
V  0.1692  0.3383  0.2500  4 O 1.87-1.88
O  0.3019  0.6039  0.0821  2 Ga 1.91
O  0.6981  0.3961  0.5821  2 Ga 1.91
Ga  0.8649  0.7298  0.4491  4 O 1.91-1.96
O  0.0434  0.0868  0.1158  1 V 1.88, 2 Ga 1.93-1.96
Ga  0.1351  0.2702  0.9491  4 O 1.91-1.96
O  0.0434  0.0868  0.3842  1 V 1.88, 2 Ga 1.93-1.96
V  0.8308  0.6617  0.7500  4 O 1.87-1.88
Ga  0.1351  0.2702  0.5509  4 O 1.91-1.96
O  0.9566  0.9132  0.6158  1 V 1.88, 2 Ga 1.93-1.96
O  0.9566  0.9132  0.8842  1 V 1.88, 2 Ga 1.93-1.96
O  0.7265  0.4529  0.2500  2 V 1.87
Ga  0.8649  0.7298  0.0509  4 O 1.91-1.96
O  0.2735  0.5471  0.7500  2 V 1.87
O  0.6981  0.3961  0.9179  2 Ga 1.91

## Properties
SG: Cmcm (63)
Calculated total energy (eV/atom): -6.658
Total magnetization (μB per formula unit): 1.0